Entry from the Alexandria database: an optimized crystal structure of Ba2PrBi3Pt4 (GGA-PBE).

Geometry as extended XYZ:
```
10
Lattice="4.9129 0.0000 0.0000 0.0000 4.9129 0.0000 0.0000 0.0000 11.5786" Properties=species:S:1:pos:R:3 pbc="T T T"
Pr 2.4564 2.4564 5.7893
Pt 0.0000 2.4564 4.1455
Bi 0.0000 2.4564 1.3652
Ba 2.4564 0.0000 2.5993
Pt 2.4564 2.4564 0.0000
Bi 2.4564 0.0000 10.2134
Ba 0.0000 2.4564 8.9793
Pt 0.0000 0.0000 0.0000
Bi 0.0000 0.0000 5.7893
Pt 2.4564 0.0000 7.4331
```

Output
Total magnetic moment (μB/cell): 0.000
E_form (kJ per mole of atoms): -67